[1]
A relaxed Pu3BiPd3 crystal, computed with PBE.

Computed properties:
Calculated formation energy (eV/atom): 0.03
Electronic total energy (eV/cell): -124.4

Structure (CIF):
```
data_Pu3BiPd3
_chemical_formula_sum 'Pu6 Bi2 Pd6'
_space_group_name_H-M_alt 'P 63/m'
_space_group_IT_number 176
_space_group_name_Hall '-P 6c'
_cell_length_a 10.1936
_cell_length_b 10.1936
_cell_length_c 3.3111
_cell_angle_alpha 90.00
_cell_angle_beta 90.00
_cell_angle_gamma 120.00
loop_
_atom_site_label
_atom_site_type_symbol
_atom_site_fract_x
_atom_site_fract_y
_atom_site_fract_z
_atom_site_occupancy
Pu1 Pu 0.0168 0.5884 0.2500 1
Bi1 Bi 0.3333 0.6667 0.7500 1
Pd1 Pd 0.0200 0.2145 0.2500 1
```

[2]
A relaxed ThGa2Sb crystal, computed with PBE.

Computed properties:
Energy relative to the elements, uncorrected (eV/atom): -0.510
Electronic total energy (eV/cell): -19.6

Structure (CIF):
```
data_ThGa2Sb
_chemical_formula_sum 'Th1 Ga2 Sb1'
_space_group_name_H-M_alt 'P 4/m m m'
_space_group_IT_number 123
_space_group_name_Hall '-P 4 2'
_cell_length_a 4.602
_cell_length_b 4.602
_cell_length_c 4.436
_cell_angle_alpha 90.00
_cell_angle_beta 90.00
_cell_angle_gamma 90.00
loop_
_atom_site_label
_atom_site_type_symbol
_atom_site_fract_x
_atom_site_fract_y
_atom_site_fract_z
_atom_site_occupancy
Th1 Th 0.000 0.000 0.000 1
Ga1 Ga 0.000 0.500 0.500 1
Sb1 Sb 0.500 0.500 0.000 1
```

[3]
A relaxed BaReSe2N crystal, computed with PBE.

Computed properties:
Energy relative to the elements, uncorrected (eV/atom): 1.949
Excess energy over the best structure of this formula in the dataset (eV/atom): 2.493
Electronic total energy (eV/cell): -19.9

Structure (CIF):
```
data_BaReSe2N
_chemical_formula_sum 'Ba1 Re1 Se2 N1'
_space_group_name_H-M_alt 'P 4/m m m'
_space_group_IT_number 123
_space_group_name_Hall '-P 4 2'
_cell_length_a 6.109
_cell_length_b 6.109
_cell_length_c 5.109
_cell_angle_alpha 90.00
_cell_angle_beta 90.00
_cell_angle_gamma 90.00
loop_
_atom_site_label
_atom_site_type_symbol
_atom_site_fract_x
_atom_site_fract_y
_atom_site_fract_z
_atom_site_occupancy
Ba1 Ba 0.000 0.000 0.000 1
Re1 Re 0.500 0.500 0.500 1
Se1 Se 0.000 0.500 0.000 1
N1 N 0.000 0.000 0.500 1
```

[4]
A relaxed MnNi2Cl crystal, computed with PBE.

Computed properties:
Energy relative to the elements, uncorrected (eV/atom): 0.398
Excess energy over the best structure of this formula in the dataset (eV/atom): 0.323
Electronic total energy (eV/cell): -42.0

Structure (CIF):
```
data_MnNi2Cl
_chemical_formula_sum 'Mn2 Ni4 Cl2'
_space_group_name_H-M_alt 'I m m 2'
_space_group_IT_number 44
_cell_length_a 2.915
_cell_length_b 4.319
_cell_length_c 8.491
_cell_angle_alpha 90.00
_cell_angle_beta 90.00
_cell_angle_gamma 90.00
loop_
_space_group_symop_operation_xyz
'x,y,z'
'-x,-y,z'
'-x,y,z'
'x,-y,z'
'x+1/2,y+1/2,z+1/2'
'-x+1/2,-y+1/2,z+1/2'
'-x+1/2,y+1/2,z+1/2'
'x+1/2,-y+1/2,z+1/2'
loop_
_atom_site_label
_atom_site_type_symbol
_atom_site_fract_x
_atom_site_fract_y
_atom_site_fract_z
_atom_site_occupancy
Mn1 Mn 0.000 0.000 0.000 1
Ni1 Ni 0.000 0.000 0.526 1
Ni2 Ni 0.000 0.500 0.773 1
Cl1 Cl 0.000 0.500 0.248 1
```

[5]
A relaxed PmIn6Hg8 crystal, computed with PBE.

Computed properties:
Calculated formation energy (eV/atom): -0.05
Electronic total energy (eV/cell): -72.9

Structure (CIF):
```
data_PmIn6Hg8
_chemical_formula_sum 'Pm3 In18 Hg24'
_space_group_name_H-M_alt 'R -3'
_space_group_IT_number 148
_space_group_name_Hall '-R 3'
_cell_length_a 9.7673
_cell_length_b 9.7673
_cell_length_c 14.8659
_cell_angle_alpha 90.00
_cell_angle_beta 90.00
_cell_angle_gamma 120.00
loop_
_atom_site_label
_atom_site_type_symbol
_atom_site_fract_x
_atom_site_fract_y
_atom_site_fract_z
_atom_site_occupancy
Pm1 Pm 0.0000 0.0000 0.0000 1
In1 In 0.0076 0.1967 0.3955 1
Hg1 Hg 0.0000 0.0000 0.2181 1
Hg2 Hg 0.0196 0.2908 0.8907 1
```

[6]
A relaxed Cd7Ag3Sn crystal, computed with PBE.

Computed properties:
Calculated formation energy (eV/atom): 0.06
Electronic total energy (eV/cell): -18.3

Structure (CIF):
```
data_Cd7Ag3Sn
_chemical_formula_sum 'Cd7 Ag3 Sn1'
_space_group_name_H-M_alt 'P 3 m 1'
_space_group_IT_number 156
_cell_length_a 6.2537
_cell_length_b 6.2537
_cell_length_c 7.3732
_cell_angle_alpha 90.00
_cell_angle_beta 90.00
_cell_angle_gamma 120.00
loop_
_space_group_symop_operation_xyz
'x,y,z'
'-y,x-y,z'
'-x+y,-x,z'
'-y,-x,z'
'-x+y,y,z'
'x,x-y,z'
loop_
_atom_site_label
_atom_site_type_symbol
_atom_site_fract_x
_atom_site_fract_y
_atom_site_fract_z
_atom_site_occupancy
Cd1 Cd 0.0000 0.0000 0.0000 1
Cd2 Cd 0.0086 0.5043 0.0175 1
Cd3 Cd 0.1696 0.3393 0.6422 1
Ag1 Ag 0.3252 0.1626 0.3236 1
Sn1 Sn 0.6667 0.3333 0.6369 1
```

[7]
A relaxed NaTeN crystal, computed with PBE.

Computed properties:
Energy relative to the elements, uncorrected (eV/atom): -0.351
Excess energy over the best structure of this formula in the dataset (eV/atom): 0.000
Electronic total energy (eV/cell): -55.4

Structure (CIF):
```
data_NaTeN
_chemical_formula_sum 'Na4 Te4 N4'
_space_group_name_H-M_alt 'C 1 2/m 1'
_space_group_IT_number 12
_cell_length_a 26.276
_cell_length_b 5.390
_cell_length_c 3.245
_cell_angle_alpha 90.00
_cell_angle_beta 92.30
_cell_angle_gamma 90.00
loop_
_space_group_symop_operation_xyz
'x,y,z'
'-x,-y,-z'
'-x,y,-z'
'x,-y,z'
'x+1/2,y+1/2,z'
'-x+1/2,-y+1/2,-z'
'-x+1/2,y+1/2,-z'
'x+1/2,-y+1/2,z'
loop_
_atom_site_label
_atom_site_type_symbol
_atom_site_fract_x
_atom_site_fract_y
_atom_site_fract_z
_atom_site_occupancy
Na1 Na 0.204 0.000 0.482 1
Te1 Te 0.182 0.500 0.975 1
N1 N 0.021 0.500 0.487 1
```

[8]
A relaxed Cs6Sc3Cl14 crystal, computed with PBE.

Computed properties:
Energy relative to the elements, uncorrected (eV/atom): -2.027
Electronic total energy (eV/cell): -96.6

Structure (CIF):
```
data_Cs6Sc3Cl14
_chemical_formula_sum 'Cs6 Sc3 Cl14'
_space_group_name_H-M_alt 'P 3'
_space_group_IT_number 143
_cell_length_a 12.4829
_cell_length_b 12.4829
_cell_length_c 6.7612
_cell_angle_alpha 90.00
_cell_angle_beta 90.00
_cell_angle_gamma 120.00
loop_
_space_group_symop_operation_xyz
'x,y,z'
'-y,x-y,z'
'-x+y,-x,z'
loop_
_atom_site_label
_atom_site_type_symbol
_atom_site_fract_x
_atom_site_fract_y
_atom_site_fract_z
_atom_site_occupancy
Cs1 Cs 0.0268 0.5768 0.0000 1
Cs2 Cs 0.3103 0.0966 0.4745 1
Sc1 Sc 0.0000 0.0000 0.9113 1
Sc2 Sc 0.3333 0.6667 0.4361 1
Sc3 Sc 0.6667 0.3333 0.7551 1
Cl1 Cl 0.0000 0.0000 0.2675 1
Cl2 Cl 0.0678 0.8631 0.7879 1
Cl3 Cl 0.1927 0.4635 0.3080 1
Cl4 Cl 0.3333 0.6667 0.7922 1
Cl5 Cl 0.4736 0.2028 0.9629 1
Cl6 Cl 0.5381 0.3975 0.5453 1
```

DOS at the Fermi energy for the records above, in order: 10.72, 2.23, 4.62, 2.69, 6.12, 4.15, 1.82, 11.14 states/eV/f.u.